Entry 1:
## Ca3Al7Pd2 (PBE)

Data for a geometry-optimized Ca3Al7Pd2 structure.

a b c (Å): 14.2734 14.2734 4.3303
angles (deg): 90.00 90.00 161.89
With the nearest neighbours (Å) after each atom.
Sites, in units of the cell vectors:
Ca 0.0000 0.0000 0.0000  4 Al 3.12
Ca 0.2053 0.7947 0.0000  8 Al 3.18-3.25, 2 Ca 3.37
Ca 0.7947 0.2053 0.0000  8 Al 3.18-3.25, 2 Ca 3.37
Al 0.1203 0.8797 0.5000  2 Pd 2.50
Al 0.3165 0.6835 0.5000  4 Al 2.77-2.87, 1 Pd 2.87
Al 0.3780 0.6220 0.0000  2 Pd 2.44
Al 0.5000 0.5000 0.5000  2 Pd 2.30
Al 0.6220 0.3780 0.0000  2 Pd 2.44
Al 0.6835 0.3165 0.5000  4 Al 2.77-2.87, 1 Pd 2.87
Al 0.8797 0.1203 0.5000  2 Pd 2.50
Pd 0.4183 0.5817 0.5000  5 Al 2.30-2.50
Pd 0.5817 0.4183 0.5000  5 Al 2.30-2.50

Values from the calculation:
Mass density ... 3.16 g/cm3
Density of states at the Fermi level ... 5.1 states/eV/f.u.
E_form ... -245 meV/atom



Entry 2:
## CaAlPd2 (PBE)

Data for a geometry-optimized CaAlPd2 structure.

a b c (Å): 3.1349 3.1349 7.2362
angles (deg): 90.00 90.00 90.00
With the nearest neighbours (Å) after each atom.
Sites, in units of the cell vectors:
Ca 0.0000 0.0000 0.0000  8 Pd 3.10, 4 Ca 3.13
Al 0.0000 0.0000 0.5000  8 Pd 2.65
Pd 0.5000 0.5000 0.2991  4 Al 2.65, 1 Pd 2.91
Pd 0.5000 0.5000 0.7009  4 Al 2.65, 1 Pd 2.91

Values from the calculation:
Mass density ... 6.54 g/cm3
Density of states at the Fermi level ... 1.8 states/eV/f.u.
E_form ... -735 meV/atom



Spin magnetization? In order: 0.0, 0.0 Bohr magnetons per cell.